Entry from Alexandria via LeMat-Bulk: a relaxed structure of Sr2SmHg8 (PBE-GGA).

The value obtained for the density of states at the Fermi level is 0.63 states/eV/atom. As for the space group: Immm, No. 71. The calculated volume comes out at 28.18 Å³/atom. Its formation energy is -4.0 eV/f.u.

Structure (CIF):
```
data_Sr2SmHg8
_symmetry_space_group_name_H-M 'P 1'
_symmetry_Int_Tables_number 1
_cell_length_a 5.277
_cell_length_b 7.823
_cell_length_c 8.869
_cell_angle_alpha 116.17
_cell_angle_beta 107.31
_cell_angle_gamma 90.00
loop_
_symmetry_equiv_pos_as_xyz
'x,y,z'
loop_
_atom_site_label
_atom_site_fract_x
_atom_site_fract_y
_atom_site_fract_z
_atom_site_occupancy
Hg1 0.857 0.857 0.714 1
Hg2 0.000 0.696 0.000 1
Hg3 0.371 0.563 0.741 1
Hg4 0.371 0.179 0.741 1
Sm1 0.500 0.000 0.000 1
Hg5 0.629 0.437 0.259 1
Hg6 0.143 0.143 0.286 1
Sr1 0.214 0.714 0.429 1
Sr2 0.786 0.286 0.571 1
Hg7 0.000 0.304 0.000 1
Hg8 0.629 0.821 0.259 1
```



Entry from Alexandria via LeMat-Bulk: a relaxed structure of SrSmTlHg (PBE-GGA).

The value obtained for the density of states at the Fermi level is 0.59 states/eV/atom. The value obtained for the energy above the most stable polymorph in this dataset is 28 meV per atom. As for the space group: F-43m, No. 216. The calculated volume comes out at 30.41 Å³/atom. Its formation energy is -1.7 eV/f.u.

Structure (CIF):
```
data_SrSmTlHg
_symmetry_space_group_name_H-M 'P 1'
_symmetry_Int_Tables_number 1
_cell_length_a 5.562
_cell_length_b 5.562
_cell_length_c 5.562
_cell_angle_alpha 60.00
_cell_angle_beta 60.00
_cell_angle_gamma 60.00
loop_
_symmetry_equiv_pos_as_xyz
'x,y,z'
loop_
_atom_site_label
_atom_site_fract_x
_atom_site_fract_y
_atom_site_fract_z
_atom_site_occupancy
Sr1 0.750 0.750 0.750 1
Hg1 0.500 0.500 0.500 1
Tl1 0.000 0.000 0.000 1
Sm1 0.250 0.250 0.250 1
```



Entry from Alexandria via LeMat-Bulk: a relaxed structure of SrSmTlHg (PBE-GGA).

The value obtained for the density of states at the Fermi level is 0.66 states/eV/atom. The value obtained for the energy above the most stable polymorph in this dataset is 0 meV per atom. As for the space group: P4mm, No. 99. The calculated volume comes out at 30.51 Å³/atom. Its formation energy is -1.8 eV/f.u.

Structure (CIF):
```
data_SrSmTlHg
_symmetry_space_group_name_H-M 'P 1'
_symmetry_Int_Tables_number 1
_cell_length_a 3.890
_cell_length_b 3.890
_cell_length_c 8.065
_cell_angle_alpha 90.00
_cell_angle_beta 90.00
_cell_angle_gamma 90.00
loop_
_symmetry_equiv_pos_as_xyz
'x,y,z'
loop_
_atom_site_label
_atom_site_fract_x
_atom_site_fract_y
_atom_site_fract_z
_atom_site_occupancy
Tl1 0.500 0.500 0.127 1
Sm1 0.000 0.000 0.367 1
Hg1 0.500 0.500 0.584 1
Sr1 0.000 0.000 0.850 1
```



Entry from Alexandria via LeMat-Bulk: a relaxed structure of Sm2TaHg (PBE-GGA).

The value obtained for the density of states at the Fermi level is 1.66 states/eV/atom. As for the space group: R-3m, No. 166. The calculated volume comes out at 26.02 Å³/atom. Its formation energy is 2.1 eV/f.u.

Structure (CIF):
```
data_Sm2TaHg
_symmetry_space_group_name_H-M 'P 1'
_symmetry_Int_Tables_number 1
_cell_length_a 3.229
_cell_length_b 3.229
_cell_length_c 11.678
_cell_angle_alpha 82.05
_cell_angle_beta 82.05
_cell_angle_gamma 60.00
loop_
_symmetry_equiv_pos_as_xyz
'x,y,z'
loop_
_atom_site_label
_atom_site_fract_x
_atom_site_fract_y
_atom_site_fract_z
_atom_site_occupancy
Sm1 0.086 0.086 0.742 1
Sm2 0.914 0.914 0.258 1
Ta1 0.000 0.000 0.000 1
Hg1 0.500 0.500 0.500 1
```



Entry from Alexandria via LeMat-Bulk: a relaxed structure of TbSm2Hg2 (PBE-GGA).

The value obtained for the density of states at the Fermi level is 1.09 states/eV/atom. The value obtained for the energy above the most stable polymorph in this dataset is 56 meV per atom. As for the space group: Immm, No. 71. The calculated volume comes out at 28.78 Å³/atom. Its formation energy is -1.6 eV/f.u.

Structure (CIF):
```
data_TbSm2Hg2
_symmetry_space_group_name_H-M 'P 1'
_symmetry_Int_Tables_number 1
_cell_length_a 4.841
_cell_length_b 6.007
_cell_length_c 6.007
_cell_angle_alpha 71.69
_cell_angle_beta 66.24
_cell_angle_gamma 66.24
loop_
_symmetry_equiv_pos_as_xyz
'x,y,z'
loop_
_atom_site_label
_atom_site_fract_x
_atom_site_fract_y
_atom_site_fract_z
_atom_site_occupancy
Sm1 0.805 0.695 0.695 1
Hg1 0.500 0.716 0.284 1
Tb1 0.000 0.000 0.000 1
Hg2 0.500 0.284 0.716 1
Sm2 0.195 0.305 0.305 1
```



Entry from Alexandria via LeMat-Bulk: a relaxed structure of Tb2SmHg8 (PBE-GGA).

The value obtained for the density of states at the Fermi level is 0.46 states/eV/atom. The value obtained for the energy above the most stable polymorph in this dataset is 0 meV per atom. As for the space group: C2/m, No. 12. The calculated volume comes out at 24.90 Å³/atom. Its formation energy is -3.6 eV/f.u.

Structure (CIF):
```
data_Tb2SmHg8
_symmetry_space_group_name_H-M 'P 1'
_symmetry_Int_Tables_number 1
_cell_length_a 4.973
_cell_length_b 7.274
_cell_length_c 8.412
_cell_angle_alpha 108.67
_cell_angle_beta 107.19
_cell_angle_gamma 90.00
loop_
_symmetry_equiv_pos_as_xyz
'x,y,z'
loop_
_atom_site_label
_atom_site_fract_x
_atom_site_fract_y
_atom_site_fract_z
_atom_site_occupancy
Hg1 0.972 0.271 0.944 1
Hg2 0.151 0.185 0.301 1
Tb1 0.787 0.346 0.573 1
Hg3 0.674 0.903 0.348 1
Hg4 0.326 0.097 0.652 1
Hg5 0.597 0.459 0.194 1
Hg6 0.849 0.815 0.699 1
Sm1 0.500 0.000 0.000 1
Hg7 0.403 0.541 0.806 1
Tb2 0.213 0.654 0.427 1
Hg8 0.028 0.729 0.056 1
```